Compound: Th5H2Pb2
Source: Alexandria
Functional: GGA-PBE
Structure: relaxed

The density of states at the Fermi level comes out at 1.052 states/eV/atom. As for the density: 11.5 g/cm3.

The structure belongs to space group C2/m (No. 12); the cell edges are 12.033, 4.369 and 8.759 Å and the angles 90.00°, 97.51° and 90.00°. The inequivalent atoms are Th at (0.000, 0.000, 0.000), Th at (0.129, 0.000, 0.455), Th at (0.218, 0.500, 0.153), H at (0.151, 0.000, 0.195) and Pb at (0.067, 0.500, 0.736).


Compound: VCd3Au
Source: Alexandria
Functional: GGA-PBE
Structure: relaxed

The density of states at the Fermi level comes out at 0.870 states/eV/atom. The value obtained for the formation energy is 0.90 eV per atom. As for the density: 6.5 g/cm3.

The structure belongs to space group Pm-3m (No. 221); the cell edges are 5.306, 5.306 and 5.306 Å and the angles 90.00°, 90.00° and 90.00°. The inequivalent atoms are V at (0.000, 0.000, 0.000), Cd at (0.000, 0.000, 0.500) and Au at (0.500, 0.500, 0.500).


Compound: Tm2VIn
Source: Alexandria
Functional: GGA-PBE
Structure: relaxed

The density of states at the Fermi level comes out at 0.776 states/eV/atom. The value obtained for the formation energy is -0.08 eV per atom. As for the density: 8.7 g/cm3.

The structure belongs to space group P4/mmm (No. 123); the cell edges are 3.628, 3.628 and 7.277 Å and the angles 90.00°, 90.00° and 90.00°. The inequivalent atoms are Tm at (0.000, 0.000, 0.232), V at (0.500, 0.500, 0.000) and In at (0.500, 0.500, 0.500).


E (computed, eV per atom): -5.9264 -2.1242 -5.2835